{"formula": "La2ZrNi", "functional": "PBE-GGA", "state": "optimized geometry", "cell": [[-0.456, -2.384, -4.481], [4.078, -0.588, -3.000], [2.043, -4.624, -0.646]], "species": ["La", "La", "Zr", "Ni"], "frac_coords": [[0.000, 0.000, 0.000], [0.250, 0.250, 0.250], [0.750, 0.750, 0.750], [0.500, 0.500, 0.500]], "final_energy_ev_per_atom": -5.80, "delta_e_f_kj_per_mol_atoms": 23.6}


{"formula": "Ce8IrOs2", "functional": "PBE-GGA", "state": "optimized geometry", "cell": [[-5.103, -2.611, 0.364], [4.631, -5.842, 0.487], [-0.193, 4.361, 6.063]], "species": ["Ce", "Ce", "Ce", "Ce", "Ce", "Ce", "Ce", "Ce", "Os", "Os", "Ir"], "frac_coords": [[0.416, 0.686, 0.906], [0.584, 0.100, 0.321], [0.000, 0.781, 0.225], [0.826, 0.627, 0.627], [0.416, 0.906, 0.686], [0.174, 0.379, 0.379], [0.584, 0.321, 0.100], [0.000, 0.225, 0.781], [0.500, 0.704, 0.302], [0.500, 0.302, 0.704], [0.000, 0.003, 0.003]], "final_energy_ev_per_atom": -7.36, "delta_e_f_kj_per_mol_atoms": -18.6}


{"formula": "TaMn2In", "functional": "PBE-GGA", "state": "optimized geometry", "cell": [[4.291, 0.000, 0.000], [0.000, 2.846, 0.037], [0.000, 1.466, 5.274]], "species": ["In", "Mn", "Mn", "Ta"], "frac_coords": [[0.500, 0.778, 0.779], [0.500, 0.174, 0.255], [0.000, 0.046, 0.010], [0.000, 0.503, 0.456]], "final_energy_ev_per_atom": -7.96, "delta_e_f_kj_per_mol_atoms": 26.0}


{"formula": "Pu2Pa5N12", "functional": "PBE-GGA", "state": "optimized geometry", "cell": [[6.025, 0.000, 0.000], [-3.012, 6.095, -1.929], [0.000, 0.056, 7.603]], "species": ["N", "N", "N", "N", "N", "N", "N", "N", "N", "N", "N", "N", "Pa", "Pa", "Pa", "Pa", "Pa", "Pu", "Pu"], "frac_coords": [[0.908, 0.346, 0.091], [0.498, 0.997, 0.180], [0.438, 0.346, 0.091], [0.417, 0.324, 0.577], [0.997, 0.995, 0.226], [0.092, 0.654, 0.909], [0.562, 0.654, 0.909], [0.502, 0.003, 0.820], [0.003, 0.005, 0.774], [0.907, 0.324, 0.577], [0.583, 0.676, 0.423], [0.093, 0.676, 0.423], [0.000, 0.000, 0.500], [0.305, 0.610, 0.166], [0.696, 0.393, 0.360], [0.695, 0.390, 0.834], [0.304, 0.607, 0.640], [0.227, 0.000, 0.000], [0.773, 0.000, 0.000]], "final_energy_ev_per_atom": -10.61, "raw_formation_energy_ev_per_atom": -1.34}


{"formula": "Rb3Np3Te8Rh", "functional": "PBE-GGA", "state": "optimized geometry", "cell": [[-5.639, 6.609, -1.280], [0.504, -3.881, 7.862], [7.727, 6.133, -2.373]], "species": ["Rh", "Te", "Te", "Te", "Te", "Te", "Te", "Te", "Te", "Rb", "Rb", "Rb", "Np", "Np", "Np"], "frac_coords": [[0.000, 0.000, 0.500], [0.789, 0.578, 0.319], [0.265, 0.531, 0.296], [0.211, 0.422, 0.681], [0.789, 0.029, 0.318], [0.211, 0.971, 0.682], [0.760, 0.971, 0.681], [0.240, 0.029, 0.319], [0.735, 0.469, 0.704], [0.000, 0.500, 0.000], [0.000, 0.000, 0.000], [0.500, 0.500, 0.000], [0.500, 0.500, 0.500], [0.000, 0.500, 0.500], [0.500, 0.000, 0.500]], "final_energy_ev_per_atom": -5.67, "raw_formation_energy_ev_per_atom": -0.72}


{"formula": "SmErMo", "functional": "PBE-GGA", "state": "optimized geometry", "cell": [[-4.617, -2.847, -1.461], [-0.502, -2.893, -3.575], [-0.031, -7.460, 3.836]], "species": ["Er", "Er", "Mo", "Mo", "Sm", "Sm"], "frac_coords": [[0.407, 0.000, 0.185], [0.593, 0.000, 0.815], [0.843, 0.313, 0.000], [0.157, 0.687, 0.000], [0.750, 0.500, 0.500], [0.250, 0.500, 0.500]], "final_energy_ev_per_atom": -6.01, "delta_e_f_kj_per_mol_atoms": 67.0}


{"formula": "ZrCo2", "functional": "PBE-GGA", "state": "optimized geometry", "cell": [[-1.848, 1.848, 6.650], [1.848, -1.848, 6.650], [1.848, 1.848, -6.650]], "species": ["Co", "Co", "Co", "Co", "Zr", "Zr"], "frac_coords": [[0.168, 0.668, 0.500], [0.332, 0.832, 0.500], [0.418, 0.418, 0.000], [0.582, 0.582, 0.000], [0.000, 0.000, 0.000], [0.750, 0.250, 0.500]], "final_energy_ev_per_atom": -7.72, "delta_e_f_kj_per_mol_atoms": -13.0}


{"formula": "La4CeDy", "functional": "PBE-GGA", "state": "optimized geometry", "cell": [[3.495, 0.000, 0.000], [-1.747, 5.237, -2.594], [0.000, -0.554, 11.640]], "species": ["La", "La", "La", "La", "Dy", "Ce"], "frac_coords": [[0.660, 0.319, 0.335], [0.840, 0.681, 0.156], [0.340, 0.681, 0.665], [0.160, 0.319, 0.844], [0.000, 0.000, 0.500], [0.500, 0.000, 0.000]], "final_energy_ev_per_atom": -4.86, "delta_e_f_kj_per_mol_atoms": 17.7}


{"formula": "CsCd3Au3", "functional": "PBE-GGA", "state": "optimized geometry", "cell": [[7.464, 0.000, 0.000], [3.732, 6.464, 0.000], [3.732, 2.155, 8.728]], "species": ["Cd", "Cd", "Cd", "Cd", "Cd", "Cd", "Au", "Au", "Au", "Au", "Au", "Au", "Cs", "Cs"], "frac_coords": [[0.102, 0.564, 0.622], [0.712, 0.102, 0.622], [0.564, 0.712, 0.622], [0.288, 0.898, 0.378], [0.898, 0.436, 0.378], [0.436, 0.288, 0.378], [0.125, 0.688, 0.294], [0.875, 0.312, 0.706], [0.107, 0.875, 0.706], [0.688, 0.893, 0.294], [0.312, 0.107, 0.706], [0.893, 0.125, 0.294], [0.337, 0.337, 0.990], [0.663, 0.663, 0.010]], "final_energy_ev_per_atom": -2.06, "delta_e_f_kj_per_mol_atoms": -13.6}


{"formula": "LaTaRu", "functional": "PBE-GGA", "state": "optimized geometry", "cell": [[-4.253, 0.978, 4.844], [-1.966, -0.969, 6.140], [1.219, 2.540, 1.662]], "species": ["Ru", "La", "Ta"], "frac_coords": [[0.302, 0.302, 0.698], [0.996, 0.996, 0.004], [0.703, 0.703, 0.297]], "final_energy_ev_per_atom": -8.71, "delta_e_f_kj_per_mol_atoms": -2.2}


{"formula": "Zn2AsHI", "functional": "PBE-GGA", "state": "optimized geometry", "cell": [[5.019, 0.000, 0.000], [0.000, 5.975, 0.000], [0.000, 0.000, 5.019]], "species": ["H", "Zn", "Zn", "I", "As"], "frac_coords": [[0.500, 0.500, 0.500], [0.000, 0.000, 0.500], [0.500, 0.000, 0.000], [0.000, 0.500, 0.000], [0.000, 0.000, 0.000]], "final_energy_ev_per_atom": -1.80}


{"formula": "K2TiRu", "functional": "PBE-GGA", "state": "optimized geometry", "cell": [[12.566, 0.000, 0.000], [0.000, 12.566, 0.000], [6.283, 6.283, 2.230]], "species": ["Ti", "Ti", "K", "K", "K", "K", "Ru", "Ru"], "frac_coords": [[0.250, 0.750, 0.500], [0.500, 0.500, 0.000], [0.790, 0.125, 0.250], [0.960, 0.625, 0.250], [0.875, 0.040, 0.750], [0.375, 0.210, 0.750], [0.750, 0.250, 0.500], [0.000, 0.000, 0.000]], "final_energy_ev_per_atom": -3.95, "delta_e_f_kj_per_mol_atoms": 86.1}